Computed, not measured: a relaxed structure of Mn3Cl5O at the PBE with a Hubbard U level of DFT.

Output
total magnetization	28.0	μB per cell
calculated density	2.6	Mg/m³
energy	-5.30	eV/atom

Cell lengths 7.1877, 11.4058, 8.4597 Å; angles 74.80, 52.22, 56.18 degrees
Sites, in units of the cell vectors:
Mn (0.5000, 0.0000, 0.0000)
Mn (0.0000, 0.0000, 0.0000)
Mn (0.9278, 0.6400, 0.6067)
Mn (0.0722, 0.3600, 0.3933)
Mn (0.8802, 0.1481, 0.3656)
Mn (0.1198, 0.8519, 0.6344)
Cl (0.2076, 0.2575, 0.0829)
Cl (0.6866, 0.9993, 0.6114)
Cl (0.3765, 0.7786, 0.7975)
Cl (0.3351, 0.6603, 0.4061)
Cl (0.3134, 0.0007, 0.3886)
Cl (0.9676, 0.6005, 0.3125)
Cl (0.0324, 0.3995, 0.6875)
Cl (0.7924, 0.7425, 0.9171)
Cl (0.6235, 0.2214, 0.2025)
Cl (0.6649, 0.3397, 0.5939)
O (0.1687, 0.0059, 0.1020)
O (0.8313, 0.9941, 0.8980)